DFT (PBE with a Hubbard U) results for crystalline Cs2NiI6O at its relaxed geometry.

Unit cell a=8.3688 b=8.3688 c=8.3688 alpha=124.68 beta=124.68 gamma=82.08
Element x y z (fractional)
Cs (0.2500, 0.7500, 0.5000)
Cs (0.7500, 0.2500, 0.5000)
Ni (0.0000, 0.0000, 0.0000)
I (0.2038, 0.2038, 0.0000)
I (0.2760, 0.2760, 0.5520)
I (0.2760, 0.7240, 0.0000)
I (0.7240, 0.2760, 0.0000)
I (0.7240, 0.7240, 0.4480)
I (0.7962, 0.7962, 0.0000)
O (0.5000, 0.5000, 0.0000)

Values from the calculation:
Its total energy is -2.32 eV/atom. Its size of the total moment is 1.8 μB/f.u. As for the space group: No. 139. The density of states at the Fermi level comes out at 5.10 states/eV/cell.